Run one
VASP calculation (SCAN) on Ba5Zn at its PBEsol-relaxed geometry.

Structure (POSCAR):
```
Ba5Zn
1.0
-3.722 -1.304 -1.350
-2.063 -5.627 4.687
-6.245 3.523 7.381
Ba Zn
5 1
Direct
0.163 0.447 0.226
0.873 0.880 0.373
0.500 0.000 0.000
0.837 0.553 0.774
0.127 0.120 0.627
0.500 0.500 0.500
```

## Properties
Fermi-level density of states: 6.15 states/eV/f.u.
ρ: 4.282 g/cm³

---

Run two
VASP calculation (SCAN) on Ba5Zn at its PBEsol-relaxed geometry.

Structure (POSCAR):
```
Ba5Zn
1.0
4.157 0.000 0.000
0.000 4.157 0.000
0.000 0.000 17.001
Ba Zn
5 1
Direct
0.000 0.000 0.891
0.500 0.500 0.307
0.000 0.000 0.109
0.000 0.000 0.500
0.500 0.500 0.693
0.500 0.500 0.000
```

## Properties
Fermi-level density of states: 6.91 states/eV/f.u.
ρ: 4.250 g/cm³

---

Which structure loses on stability? run one does.

---

Run one
VASP calculation (SCAN) on Ba2Zr at its PBEsol-relaxed geometry.

Structure (POSCAR):
```
Ba2Zr
1.0
5.561 0.000 0.000
2.781 6.621 0.000
2.781 0.000 6.621
Ba Zr
4 2
Direct
0.841 0.500 0.817
0.659 0.183 0.500
0.159 0.500 0.183
0.341 0.817 0.500
0.750 0.000 0.000
0.250 0.000 0.000
```

## Properties
Fermi-level density of states: 4.37 states/eV/f.u.
ρ: 4.985 g/cm³

---

Run two
VASP calculation (SCAN) on Ba2Zr at its PBEsol-relaxed geometry.

Structure (POSCAR):
```
Ba2Zr
1.0
3.588 0.000 0.000
0.000 6.185 0.000
-1.794 0.000 10.091
Ba Zr
4 2
Direct
0.548 0.250 0.096
0.452 0.750 0.904
0.782 0.750 0.564
0.218 0.250 0.436
0.120 0.750 0.240
0.880 0.250 0.760
```

## Properties
Fermi-level density of states: 4.10 states/eV/f.u.
ρ: 5.426 g/cm³

---

Which structure loses on stability? run two does.